An optimized crystal structure of Ba6Ag3I2. Source: Alexandria via LeMat-Bulk, functional GGA-PBE.

Values from the calculation:
Uncorrected formation energy: -0.584 eV/atom

```
Ba6Ag3I2
1.0
4.214 -7.295 0.000
4.214 7.295 0.000
-2.820 0.000 8.630
Ba Ag I
6 3 2
Direct
0.094 0.423 0.782
0.235 0.235 0.214
0.423 0.094 0.782
0.577 0.906 0.218
0.765 0.765 0.786
0.906 0.577 0.218
0.171 0.829 0.000
0.500 0.500 0.000
0.829 0.171 0.000
0.334 0.666 0.500
0.666 0.334 0.500
```

***

An optimized crystal structure of BaAg3I. Source: Alexandria via LeMat-Bulk, functional GGA-PBE.

Values from the calculation:
Excess energy over the best structure of this formula in the dataset: 0.0 kJ per mole of atoms
Uncorrected formation energy: 0.358 eV/atom

```
BaAg3I
1.0
5.611 0.000 0.000
0.000 5.611 0.000
0.000 0.000 5.611
Ba Ag I
1 3 1
Direct
0.000 0.000 0.000
0.000 0.500 0.500
0.500 0.000 0.500
0.500 0.500 0.000
0.500 0.500 0.500
```

***

An optimized crystal structure of BaAg7I12. Source: Alexandria via LeMat-Bulk, functional GGA-PBE.

Values from the calculation:
Uncorrected formation energy: -0.349 eV/atom

```
BaAg7I12
1.0
-5.576 5.576 5.576
5.576 -5.576 5.576
5.576 5.576 -5.576
Ba Ag I
1 7 12
Direct
0.000 0.000 0.000
0.000 0.000 0.500
0.000 0.500 0.000
0.000 0.500 0.500
0.500 0.000 0.000
0.500 0.000 0.500
0.500 0.500 0.000
0.500 0.500 0.500
0.132 0.826 0.306
0.174 0.306 0.480
0.174 0.694 0.868
0.306 0.132 0.826
0.306 0.480 0.174
0.480 0.174 0.306
0.520 0.826 0.694
0.694 0.520 0.826
0.694 0.868 0.174
0.826 0.306 0.132
0.826 0.694 0.520
0.868 0.174 0.694
```

***

An optimized crystal structure of Ba3Ag2I. Source: Alexandria via LeMat-Bulk, functional GGA-PBE.

Values from the calculation:
Uncorrected formation energy: -0.440 eV/atom

```
Ba3Ag2I
1.0
2.679 -7.991 0.000
2.679 7.991 0.000
0.000 0.000 11.841
Ba Ag I
6 4 2
Direct
0.115 0.885 0.750
0.369 0.631 0.543
0.369 0.631 0.957
0.631 0.369 0.043
0.631 0.369 0.457
0.885 0.115 0.250
0.000 0.000 0.000
0.000 0.000 0.500
0.490 0.510 0.250
0.510 0.490 0.750
0.223 0.777 0.250
0.777 0.223 0.750
```

***

An optimized crystal structure of BaAgI2. Source: Alexandria via LeMat-Bulk, functional GGA-PBE.

Values from the calculation:
Excess energy over the best structure of this formula in the dataset: 0.0 kJ per mole of atoms
Uncorrected formation energy: -0.847 eV/atom

```
BaAgI2
1.0
0.000 4.189 4.189
4.189 0.000 4.189
4.189 4.189 0.000
Ba Ag I
1 1 2
Direct
0.000 0.000 0.000
0.500 0.500 0.500
0.250 0.250 0.250
0.750 0.750 0.750
```

***

An optimized crystal structure of BaAg2I. Source: Alexandria via LeMat-Bulk, functional GGA-PBE.

Values from the calculation:
Excess energy over the best structure of this formula in the dataset: 0.0 kJ per mole of atoms
Uncorrected formation energy: -0.231 eV/atom

```
BaAg2I
1.0
-4.707 4.707 3.217
4.707 -4.707 3.217
4.707 4.707 -3.217
Ba Ag I
2 4 2
Direct
0.000 0.000 0.000
0.750 0.250 0.500
0.145 0.625 0.020
0.375 0.395 0.520
0.605 0.125 0.980
0.875 0.855 0.480
0.250 0.750 0.500
0.500 0.500 0.000
```

***

An optimized crystal structure of BaAgI2. Source: Alexandria via LeMat-Bulk, functional GGA-PBE.

Values from the calculation:
Excess energy over the best structure of this formula in the dataset: 10.7 kJ per mole of atoms
Uncorrected formation energy: -0.736 eV/atom

```
BaAgI2
1.0
-3.027 3.027 10.025
3.027 -3.027 10.025
3.027 3.027 -10.025
Ba Ag I
2 2 4
Direct
0.000 0.000 0.000
0.750 0.250 0.500
0.250 0.750 0.500
0.500 0.500 0.000
0.164 0.625 0.039
0.375 0.414 0.539
0.586 0.125 0.961
0.875 0.836 0.461
```

***

An optimized crystal structure of Ba2AgI2. Source: Alexandria via LeMat-Bulk, functional GGA-PBE.

Values from the calculation:
Uncorrected formation energy: -0.973 eV/atom

```
Ba2AgI2
1.0
9.131 0.000 0.000
0.000 9.131 0.000
0.000 0.000 5.032
Ba Ag I
4 2 4
Direct
0.164 0.336 0.000
0.336 0.836 0.000
0.664 0.164 0.000
0.836 0.664 0.000
0.000 0.000 0.000
0.500 0.500 0.000
0.146 0.646 0.500
0.354 0.146 0.500
0.646 0.854 0.500
0.854 0.354 0.500
```

***

An optimized crystal structure of Ba4AgI3. Source: Alexandria via LeMat-Bulk, functional GGA-PBE.

Values from the calculation:
Uncorrected formation energy: -1.040 eV/atom

```
Ba4AgI3
1.0
8.934 0.000 0.000
0.000 10.005 0.000
-2.771 0.000 7.989
Ba Ag I
8 2 6
Direct
0.226 0.114 0.002
0.226 0.886 0.502
0.235 0.361 0.487
0.235 0.639 0.987
0.765 0.361 0.013
0.765 0.639 0.513
0.774 0.114 0.498
0.774 0.886 0.998
0.000 0.126 0.250
0.000 0.874 0.750
0.000 0.380 0.750
0.000 0.620 0.250
0.500 0.130 0.750
0.500 0.386 0.250
0.500 0.614 0.750
0.500 0.870 0.250
```

***

An optimized crystal structure of BaAg3I. Source: Alexandria via LeMat-Bulk, functional GGA-PBE.

Values from the calculation:
Excess energy over the best structure of this formula in the dataset: 40.4 kJ per mole of atoms
Uncorrected formation energy: 0.777 eV/atom

```
BaAg3I
1.0
6.157 0.000 0.000
0.000 6.157 0.000
0.000 0.000 6.157
Ba Ag I
1 3 1
Direct
0.000 0.000 0.000
0.000 0.000 0.500
0.000 0.500 0.000
0.500 0.000 0.000
0.500 0.500 0.500
```

***

An optimized crystal structure of Ba6AgI5. Source: Alexandria via LeMat-Bulk, functional GGA-PBE.

Values from the calculation:
Uncorrected formation energy: -1.127 eV/atom

```
Ba6AgI5
1.0
4.400 -7.518 0.000
4.400 7.518 0.000
-2.870 0.000 8.035
Ba Ag I
6 1 5
Direct
0.076 0.390 0.734
0.229 0.229 0.249
0.390 0.076 0.734
0.610 0.924 0.266
0.771 0.771 0.751
0.924 0.610 0.266
0.000 0.000 0.500
0.182 0.818 0.000
0.337 0.663 0.500
0.500 0.500 0.000
0.663 0.337 0.500
0.818 0.182 0.000
```

***

An optimized crystal structure of BaAgI3. Source: Alexandria via LeMat-Bulk, functional GGA-PBE.

Values from the calculation:
Excess energy over the best structure of this formula in the dataset: 0.0 kJ per mole of atoms
Uncorrected formation energy: -1.143 eV/atom

```
BaAgI3
1.0
7.668 -5.367 0.000
7.668 5.367 0.000
-0.059 0.000 5.181
Ba Ag I
2 2 6
Direct
0.241 0.241 0.260
0.759 0.759 0.740
0.307 0.693 0.500
0.693 0.307 0.500
0.048 0.664 0.250
0.336 0.952 0.750
0.396 0.396 0.760
0.604 0.604 0.240
0.664 0.048 0.250
0.952 0.336 0.750
```

***

Number 1: N(E_F) 7.3 states/eV/cell. Number 2: N(E_F) 1.9 states/eV/cell. Number 3: N(E_F) 20.5 states/eV/cell. Number 4: N(E_F) 9.9 states/eV/cell. Number 5: N(E_F) 1.8 states/eV/cell. Number 6: N(E_F) 4.5 states/eV/cell. Number 7: N(E_F) 1.4 states/eV/cell. Number 8: N(E_F) 6.3 states/eV/cell. Number 9: N(E_F) 13.2 states/eV/cell. Number 10: N(E_F) 8.0 states/eV/cell. Number 11: N(E_F) 10.7 states/eV/cell. Number 12: N(E_F) 0.0 states/eV/cell.